# CsSmVO4

An optimized crystal structure of CsSmVO4 (PBE+U, Alexandria via LeMat-Bulk).

Results
Energy   -99.6 eV/cell
V   141.8 Å³/f.u.
Space group   P2_1/m

Structure (POSCAR):
```
CsSmVO4
1.0
6.082 0.000 0.000
0.000 6.065 0.000
-2.459 0.000 7.692
Cs Sm V O
2 2 2 8
Direct
0.218 0.250 0.438 Cs
0.782 0.750 0.562 Cs
0.314 0.250 0.959 Sm
0.686 0.750 0.041 Sm
0.220 0.750 0.144 V
0.780 0.250 0.856 V
0.028 0.750 0.933 O
0.046 0.750 0.286 O
0.446 0.528 0.160 O
0.446 0.972 0.160 O
0.554 0.028 0.840 O
0.554 0.472 0.840 O
0.954 0.250 0.714 O
0.972 0.250 0.067 O
```